Entry from Alexandria: an optimized crystal structure of YTc2As (PBE).

Unit cell a=3.2652 b=4.4490 c=9.4897 alpha=90.00 beta=90.00 gamma=90.00
Closest atoms and distances in Å follow each position.
Space group Imm2 (No. 44)
Asymmetric unit:
Y (0.0000, 0.0000, 0.0000)  6 Tc 2.76-3.02, 2 As 3.06
Tc (0.0000, 0.0000, 0.4912)  2 As 2.64, 4 Y 2.76, 2 Tc 2.81
Tc (0.0000, 0.5000, 0.2317)  4 As 2.79, 2 Tc 2.81, 2 Y 3.02
As (0.0000, 0.5000, 0.7729)  6 Tc 2.64-2.79

Summary:
E ... -63.85 eV per cell
Formation energy ... -19.2 meV/atom

Entry from Alexandria: an optimized crystal structure of Y2TcAs (PBE).

Unit cell a=4.0419 b=4.0419 c=5.9173 alpha=90.00 beta=90.00 gamma=90.00
Closest atoms and distances in Å follow each position.
Space group P4mm (No. 99)
Asymmetric unit:
Y (0.0000, 0.0000, 0.0000)  4 Tc 2.92, 2 As 2.95-2.96
Y (0.5000, 0.5000, 0.3914)  2 Tc 2.89-3.02, 4 As 2.93
Tc (0.5000, 0.5000, 0.9022)  6 Y 2.89-3.02
As (0.0000, 0.0000, 0.4993)  6 Y 2.93-2.96

Summary:
E ... -28.60 eV per cell
Formation energy ... -164.7 meV/atom

Entry from Alexandria: an optimized crystal structure of YTcAs2 (PBE).

Unit cell a=4.5065 b=4.5188 c=7.0429 alpha=90.00 beta=90.00 gamma=90.00
Closest atoms and distances in Å follow each position.
Space group Cmmm (No. 65)
Asymmetric unit:
Y (0.0000, 0.0000, 0.0000)  8 As 3.04-3.05, 4 Y 3.19
Tc (0.0000, 0.0000, 0.5000)  8 As 2.70
As (0.0000, 0.5000, 0.2900)  4 Tc 2.70, 1 As 2.96

Summary:
E ... -55.68 eV per cell
Formation energy ... -428.1 meV/atom

Entry from Alexandria: an optimized crystal structure of ZnTc2As (PBE).

Unit cell a=3.8321 b=3.8321 c=7.9686 alpha=90.00 beta=90.00 gamma=90.00
Closest atoms and distances in Å follow each position.
Space group I-4m2 (No. 119)
Asymmetric unit:
Zn (0.0000, 0.0000, 0.0000)  8 Tc 2.71-2.76, 4 As 2.76
Tc (0.0000, 0.0000, 0.5000)  4 Zn 2.71, 4 As 2.76, 4 Tc 2.76
Tc (0.0000, 0.5000, 0.2500)  4 As 2.71, 4 Tc 2.76, 4 Zn 2.76
As (0.0000, 0.5000, 0.7500)  8 Tc 2.71-2.76, 4 Zn 2.76

Summary:
E ... -51.42 eV per cell
Formation energy ... 237.0 meV/atom